1.
# Cs3MnHg

An optimized crystal structure of Cs3MnHg (PBE, the Alexandria database).

Summary:
* uncorrected energy: -9.260 eV for the cell shown

Geometry as CIF:
```
data_Cs3MnHg
_symmetry_space_group_name_H-M 'P 1'
_symmetry_Int_Tables_number 1
_symmetry_space_group_name_Hall 'P 1'
_cell_length_a 7.210
_cell_length_b 7.210
_cell_length_c 7.210
_cell_angle_alpha 90.00
_cell_angle_beta 90.00
_cell_angle_gamma 90.00
loop_
_atom_site_label
_atom_site_type_symbol
_atom_site_fract_x
_atom_site_fract_y
_atom_site_fract_z
_atom_site_occupancy
Cs1 Cs 0.000 0.000 0.500 1
Cs2 Cs 0.000 0.500 0.000 1
Cs3 Cs 0.500 0.000 0.000 1
Mn1 Mn 0.500 0.500 0.500 1
Hg1 Hg 0.000 0.000 0.000 1
```

2.
# CsMnHg3

An optimized crystal structure of CsMnHg3 (PBE, the Alexandria database).

Summary:
* uncorrected energy: -10.592 eV for the cell shown

Geometry as CIF:
```
data_CsMnHg3
_symmetry_space_group_name_H-M 'P 1'
_symmetry_Int_Tables_number 1
_symmetry_space_group_name_Hall 'P 1'
_cell_length_a 5.476
_cell_length_b 5.476
_cell_length_c 5.476
_cell_angle_alpha 90.00
_cell_angle_beta 90.00
_cell_angle_gamma 90.00
loop_
_atom_site_label
_atom_site_type_symbol
_atom_site_fract_x
_atom_site_fract_y
_atom_site_fract_z
_atom_site_occupancy
Cs1 Cs 0.000 0.000 0.000 1
Mn1 Mn 0.500 0.500 0.500 1
Hg1 Hg 0.000 0.500 0.500 1
Hg2 Hg 0.500 0.000 0.500 1
Hg3 Hg 0.500 0.500 0.000 1
```

3.
# Cs2MnHg

An optimized crystal structure of Cs2MnHg (PBE, the Alexandria database).

Summary:
* uncorrected energy: -18.827 eV for the cell shown

Geometry as CIF:
```
data_Cs2MnHg
_symmetry_space_group_name_H-M 'P 1'
_symmetry_Int_Tables_number 1
_symmetry_space_group_name_Hall 'P 1'
_cell_length_a 10.177
_cell_length_b 10.177
_cell_length_c 10.177
_cell_angle_alpha 93.85
_cell_angle_beta 93.85
_cell_angle_gamma 149.95
loop_
_atom_site_label
_atom_site_type_symbol
_atom_site_fract_x
_atom_site_fract_y
_atom_site_fract_z
_atom_site_occupancy
Cs1 Cs 0.375 0.056 0.181 1
Cs2 Cs 0.806 0.625 0.681 1
Cs3 Cs 0.875 0.194 0.819 1
Cs4 Cs 0.944 0.125 0.319 1
Mn1 Mn 0.000 0.000 0.000 1
Mn2 Mn 0.750 0.250 0.500 1
Hg1 Hg 0.250 0.750 0.500 1
Hg2 Hg 0.500 0.500 0.000 1
```

4.
# CsMn3Hg

An optimized crystal structure of CsMn3Hg (PBE, the Alexandria database).

Summary:
* uncorrected energy: -17.626 eV for the cell shown

Geometry as CIF:
```
data_CsMn3Hg
_symmetry_space_group_name_H-M 'P 1'
_symmetry_Int_Tables_number 1
_symmetry_space_group_name_Hall 'P 1'
_cell_length_a 5.120
_cell_length_b 5.120
_cell_length_c 5.120
_cell_angle_alpha 90.00
_cell_angle_beta 90.00
_cell_angle_gamma 90.00
loop_
_atom_site_label
_atom_site_type_symbol
_atom_site_fract_x
_atom_site_fract_y
_atom_site_fract_z
_atom_site_occupancy
Cs1 Cs 0.000 0.000 0.000 1
Mn1 Mn 0.000 0.000 0.500 1
Mn2 Mn 0.000 0.500 0.000 1
Mn3 Mn 0.500 0.000 0.000 1
Hg1 Hg 0.500 0.500 0.500 1
```

no.,energy of formation from the pure elements (eV per atom)
1,0.55
2,0.07
3,0.44
4,2.21